! DyTh2TiN5 (PBE, relaxed); values from VASP
&SYSTEM
  ibrav = 0, nat = 18, ntyp = 4
/
ATOMIC_SPECIES
N 14.01 N.upf
Dy 162.50 Dy.upf
Th 232.04 Th.upf
Ti 47.87 Ti.upf
ATOMIC_POSITIONS crystal
N 0.7124 0.4247 0.1563
N 0.4893 0.9786 0.7967
N 0.6952 0.3904 0.8498
N 0.0457 0.0913 0.0491
N 0.3774 0.7548 0.0295
N 0.9543 0.9087 0.5491
N 0.6226 0.2452 0.5295
N 0.5107 0.0214 0.2967
N 0.3048 0.6096 0.3498
N 0.2876 0.5753 0.6563
Dy 0.2127 0.4253 0.9940
Dy 0.7873 0.5747 0.4940
Th 0.1368 0.2735 0.2745
Th 0.8632 0.7265 0.7745
Th 0.1183 0.2365 0.6973
Th 0.8817 0.7635 0.1973
Ti 0.4907 0.9815 0.4768
Ti 0.5093 0.0185 0.9768
CELL_PARAMETERS angstrom
-2.5419 2.4358 -0.0579
-1.1144 -3.5615 6.1604
6.4399 6.8420 5.1206
! Spin magnetization: 0.000 Bohr magnetons per cell
! Uncorrected formation energy: -1541.5 meV per atom

! Rb2NbAlF6 (PBE, relaxed); values from VASP
&SYSTEM
  ibrav = 0, nat = 10, ntyp = 4
/
ATOMIC_SPECIES
Al 26.98 Al.upf
F 19.00 F.upf
Nb 92.91 Nb.upf
Rb 85.47 Rb.upf
ATOMIC_POSITIONS crystal
Al 0.5000 0.5000 0.0000
F 0.2319 0.7681 0.0000
F 0.2319 0.2319 0.0000
F 0.7681 0.2319 0.0000
F 0.7681 0.7681 0.0000
F 0.2308 0.2308 0.5383
F 0.7692 0.7692 0.4617
Nb 0.0000 0.0000 0.0000
Rb 0.2500 0.7500 0.5000
Rb 0.7500 0.2500 0.5000
CELL_PARAMETERS angstrom
6.4624 0.0000 0.0000
0.0000 6.4624 0.0000
3.2312 3.2312 4.5812
! Spin magnetization: 2.000 Bohr magnetons per cell
! N(E_F): 10.949 states/eV/f.u.
! Uncorrected formation energy: -2408.5 meV per atom

! YEr4In (PBE, relaxed); values from VASP
&SYSTEM
  ibrav = 0, nat = 12, ntyp = 3
/
ATOMIC_SPECIES
Er 167.26 Er.upf
In 114.82 In.upf
Y 88.91 Y.upf
ATOMIC_POSITIONS crystal
Er 0.6786 0.1617 0.0003
Er 0.5811 0.7508 0.2499
Er 0.2492 0.4189 0.2501
Er 0.4189 0.2492 0.7501
Er 0.7508 0.5811 0.7499
Er 0.1617 0.6786 0.5003
Er 0.8383 0.3214 0.4997
Er 0.3214 0.8383 0.9997
In 0.9126 0.0874 0.2500
In 0.0874 0.9126 0.7500
Y 0.0000 0.5000 0.0000
Y 0.5000 0.0000 0.5000
CELL_PARAMETERS angstrom
5.9668 0.5263 0.5480
2.5149 5.4364 0.5480
1.9040 1.3385 11.4672
! Spin magnetization: 0.000 Bohr magnetons per cell
! N(E_F): 8.269 states/eV/f.u.
! DFT formation energy: -0.69 eV per formula unit